Record 1
YFe2Re2 after structural relaxation. Source: Alexandria via LeMat-Bulk, functional PBE.

Symmetry   I4/mmm
ΔE to the lowest computed polymorph   0 meV per atom
Energy of formation   45 meV/atom

Cell and atoms, written as POSCAR:
```
YFe2Re2
1.0
-2.025 2.025 5.001
2.025 -2.025 5.001
2.025 2.025 -5.001
Y Fe Re
1 2 2
Cartesian
0.000 0.000 0.000
0.000 0.000 3.855
0.000 0.000 6.147
2.025 0.000 2.501
0.000 2.025 2.501
```

Record 2
ZnCdRu after structural relaxation. Source: Alexandria via LeMat-Bulk, functional PBE.

Symmetry   P4/nmm
ΔE to the lowest computed polymorph   0 meV per atom
Energy of formation   32 meV/atom

Cell and atoms, written as POSCAR:
```
ZnCdRu
1.0
2.856 0.000 0.000
0.000 2.856 0.000
0.000 0.000 12.446
Zn Cd Ru
2 2 2
Cartesian
0.714 0.714 2.599
2.142 2.142 9.847
0.714 0.714 7.538
2.142 2.142 4.908
0.714 0.714 11.629
2.142 2.142 0.818
```

Record 3
LiMo2Pb after structural relaxation. Source: Alexandria via LeMat-Bulk, functional PBE.

Symmetry   I-4m2
Energy of formation   381 meV/atom

Cell and atoms, written as POSCAR:
```
LiMo2Pb
1.0
-2.293 2.293 3.226
2.293 -2.293 3.226
2.293 2.293 -3.226
Li Mo Pb
1 2 1
Cartesian
0.000 0.000 0.000
0.000 0.000 3.226
0.000 2.293 1.613
2.293 0.000 1.613
```

Record 4
Li3NpTe3 after structural relaxation. Source: Alexandria via LeMat-Bulk, functional PBE.

Raw formation energy   -0.872 eV per atom
Symmetry   R-3

Cell and atoms, written as POSCAR:
```
Li3NpTe3
1.0
3.977 2.296 7.289
-3.977 2.296 7.289
0.000 -4.592 7.289
Li Np Te
6 2 6
Cartesian
-2.696 0.156 9.947
-1.483 -2.257 11.919
1.213 -2.412 9.947
-1.213 2.412 11.919
1.483 2.257 9.947
2.696 -0.156 11.919
0.000 0.000 7.306
0.000 0.000 14.560
-1.422 -2.174 9.081
-2.594 0.145 12.785
-1.172 2.318 9.081
1.172 -2.318 12.785
2.594 -0.145 9.081
1.422 2.174 12.785
```

| no. | calculated total energy (Ry per atom) | total moment (μB per cell) |
| --- | --- | --- |
| 1 | -0.7065 | 1.27 |
| 2 | -0.2786 | 0.00 |
| 3 | -0.4733 | 0.00 |
| 4 | -0.3592 | 8.00 |